A relaxed CoNiAg4 crystal, computed with PBE.

Unit cell a=5.320 b=5.320 c=5.320 alpha=60.00 beta=60.00 gamma=60.00
Site moments in Bohr magnetons follow the coordinates.
Sites, in units of the cell vectors:
Co (0.750, 0.750, 0.750)  1.99
Ni (0.000, 0.000, 0.000)  0.55
Ag (0.875, 0.375, 0.375)  -0.01
Ag (0.375, 0.375, 0.875)  -0.01
Ag (0.375, 0.875, 0.375)  -0.01
Ag (0.375, 0.375, 0.375)  -0.01

Properties
Formation energy   0.712 eV per atom

=====

A relaxed NdFe2SiN crystal, computed with PBE.

Unit cell a=3.786 b=5.633 c=6.792 alpha=90.00 beta=90.00 gamma=109.64
Sites, in units of the cell vectors:
Nd (0.448, 0.895, 0.750)
Nd (0.552, 0.105, 0.250)
Fe (0.163, 0.325, 0.941)
Fe (0.837, 0.675, 0.059)
Fe (0.163, 0.325, 0.559)
Fe (0.837, 0.675, 0.441)
Si (0.727, 0.454, 0.750)
Si (0.273, 0.546, 0.250)
N (0.000, 0.000, 0.000)
N (0.000, 0.000, 0.500)

Properties
Formation energy (no corrections)   -0.73 eV per atom

=====

A relaxed Ag2HgS2 crystal, computed with PBE.

Unit cell a=7.378 b=7.378 c=3.750 alpha=90.00 beta=90.00 gamma=90.00
Sites, in units of the cell vectors:
S (0.321, 0.821, 0.000)
S (0.821, 0.679, 0.000)
S (0.679, 0.179, 0.000)
S (0.179, 0.321, 0.000)
Hg (0.000, 0.000, 0.000)
Hg (0.500, 0.500, 0.000)
Ag (0.135, 0.635, 0.500)
Ag (0.635, 0.865, 0.500)
Ag (0.865, 0.365, 0.500)
Ag (0.365, 0.135, 0.500)

Properties
Formation energy (no corrections)   0.17 eV per atom

=====

A relaxed Pm2SnGeAu6 crystal, computed with PBE.

Unit cell a=5.460 b=9.743 c=6.903 alpha=45.81 beta=67.16 gamma=89.95
Sites, in units of the cell vectors:
Pm (0.744, 0.246, 0.515)
Pm (0.256, 0.754, 0.485)
Sn (0.500, 0.500, 0.000)
Ge (0.000, 0.000, 0.000)
Au (0.239, 0.416, 0.523)
Au (0.825, 0.826, 0.855)
Au (0.324, 0.829, 0.857)
Au (0.676, 0.171, 0.143)
Au (0.175, 0.174, 0.145)
Au (0.761, 0.584, 0.477)

Properties
Formation energy   -0.452 eV per atom

=====

A relaxed PbS4F crystal, computed with PBE.

Unit cell a=5.961 b=4.800 c=11.967 alpha=78.43 beta=85.67 gamma=67.87
Sites, in units of the cell vectors:
Pb (0.250, 0.094, 0.813)
Pb (0.750, 0.906, 0.187)
S (0.808, 0.302, 0.954)
S (0.692, 0.743, 0.954)
S (0.650, 0.934, 0.564)
S (0.350, 0.066, 0.436)
S (0.150, 0.498, 0.436)
S (0.308, 0.257, 0.046)
S (0.850, 0.502, 0.564)
S (0.192, 0.698, 0.046)
F (0.750, 0.383, 0.234)
F (0.250, 0.617, 0.766)

Properties
Formation energy (no corrections)   -0.48 eV per atom

=====

A relaxed Tl5Hg4 crystal, computed with PBE.

Unit cell a=3.443 b=8.925 c=8.925 alpha=85.38 beta=79.20 gamma=79.20
Sites, in units of the cell vectors:
Tl (0.000, 0.997, 0.003)
Tl (0.000, 0.336, 0.664)
Tl (0.000, 0.667, 0.333)
Tl (0.323, 0.346, 0.013)
Tl (0.677, 0.987, 0.654)
Hg (0.331, 0.661, 0.674)
Hg (0.331, 0.008, 0.327)
Hg (0.669, 0.673, 0.992)
Hg (0.669, 0.326, 0.339)

Properties
Formation energy   -0.004 eV per atom
Distance to the lowest polymorph of the same formula   3 meV/atom

=====

Which formula does entry 3 have?
Ag2HgS2